# 1
12
Lattice="2.977 0.000 0.000 -1.489 2.578 0.000 0.000 0.000 23.983" Properties=species:S:1:pos:R:3 comment="ErCrFe2 PBE relaxed" delta_e_f_ev_per_fu=2.31 spacegroup="R-3m, No. 166" pbc="T T T"
Er 0.000 0.000 0.000
Er 0.000 1.719 15.989
Er 1.489 0.859 7.994
Cr 0.000 0.000 11.992
Cr 0.000 1.719 3.997
Cr 1.489 0.859 19.986
Fe 0.000 0.000 5.650
Fe 0.000 0.000 18.333
Fe 0.000 1.719 10.338
Fe 0.000 1.719 21.639
Fe 1.489 0.859 2.344
Fe 1.489 0.859 13.645

***

# 2
6
Lattice="0.000 3.491 3.491 3.491 0.000 3.491 3.491 3.491 0.000" Properties=species:S:1:pos:R:3 comment="ErCrFe4 PBE relaxed" delta_e_f_ev_per_fu=0.26 spacegroup="F-43m, No. 216" pbc="T T T"
Er 0.000 0.000 0.000
Cr 1.746 1.746 1.746
Fe 4.364 2.619 2.619
Fe 2.619 4.364 2.619
Fe 2.619 2.619 4.364
Fe 4.364 4.364 4.364

***

# 3
10
Lattice="3.861 0.000 0.000 0.000 3.861 0.000 0.000 0.000 9.603" Properties=species:S:1:pos:R:3 comment="ErCrFeP2 PBE relaxed" delta_e_f_ev_per_fu=-4.34 spacegroup="I-4m2, No. 119" pbc="T T T"
Er 0.000 0.000 0.000
Er 1.931 1.931 4.801
Cr 0.000 1.931 7.202
Cr 1.931 0.000 2.401
Fe 0.000 1.931 2.401
Fe 1.931 0.000 7.202
P 0.000 0.000 3.572
P 0.000 0.000 6.031
P 1.931 1.931 1.230
P 1.931 1.931 8.373

***

# 4
10
Lattice="3.886 0.000 0.000 0.000 3.886 0.000 0.000 0.000 10.238" Properties=species:S:1:pos:R:3 comment="ErCrFeSi2 PBE relaxed" formation_energy_uncorrected_ev_per_fu=-2.79 spacegroup="I-4m2, No. 119" pbc="T T T"
Er 0.000 0.000 0.000
Er 1.943 1.943 5.119
Cr 0.000 1.943 7.678
Cr 1.943 0.000 2.559
Fe 0.000 1.943 2.559
Fe 1.943 0.000 7.678
Si 0.000 0.000 3.896
Si 0.000 0.000 6.342
Si 1.943 1.943 1.223
Si 1.943 1.943 9.015

***

| no. | calculated density (Mg/m³) | D(E_F) (states/eV per cell) |
| --- | --- | --- |
| 1 | 8.96 | 14.97 |
| 2 | 8.64 | 5.42 |
| 3 | 7.82 | 9.74 |
| 4 | 7.11 | 7.28 |